(1)
Entry from the Alexandria database: Li2TaAlV after structural relaxation (PBE-GGA).

## Properties
ΔH_f (0 K) = 1.82 eV per atom
electronic total energy = -3.889 eV/atom
total moment = 0.528 μB per atom
calculated density = 4.4 g cm⁻³
crystal system = tetragonal

Cell: 4.5614 4.5614 4.9915 Å, 90.00 90.00 90.00°
Last column: nearest neighbours and their distance in Å.
Space group P4/mmm (No. 123)
Inequivalent atoms, fractional coordinates:
Li1 0.0000 0.5000 0.0000 x2  2 Ta 2.28
Ta1 0.0000 0.0000 0.0000 x1  4 Li 2.28, 2 Al 2.50
Al1 0.0000 0.0000 0.5000 x1  2 Ta 2.50
V1 0.5000 0.5000 0.5000 x1  4 Al 3.23, 8 Li 3.38

=====

(2)
Entry from the Alexandria database: LiTa2AlW after structural relaxation (PBE-GGA).

## Properties
ΔH_f (0 K) = 1.57 eV per atom
electronic total energy = -6.895 eV/atom
total moment = 0.000 μB per atom
calculated density = 9.3 g cm⁻³
crystal system = tetragonal

Cell: 4.7581 4.7581 4.5829 Å, 90.00 90.00 90.00°
Last column: nearest neighbours and their distance in Å.
Space group P4/mmm (No. 123)
Inequivalent atoms, fractional coordinates:
Li1 0.0000 0.0000 0.0000 x1  8 Ta 3.30, 4 W 3.36
Ta1 0.0000 0.5000 0.5000 x2  2 Al 2.38
Al1 0.5000 0.5000 0.5000 x1  2 W 2.29, 4 Ta 2.38
W1 0.5000 0.5000 0.0000 x1  2 Al 2.29

=====

(3)
Entry from the Alexandria database: LiYTaAl2 after structural relaxation (PBE-GGA).

## Properties
ΔH_f (0 K) = 1.45 eV per atom
electronic total energy = -4.097 eV/atom
total moment = 0.000 μB per atom
calculated density = 3.6 g cm⁻³
crystal system = tetragonal

Cell: 5.4776 5.4776 5.0215 Å, 90.00 90.00 90.00°
Last column: nearest neighbours and their distance in Å.
Space group P4/mmm (No. 123)
Inequivalent atoms, fractional coordinates:
Li1 0.0000 0.0000 0.0000 x1  8 Al 3.72, 4 Ta 3.87
Y1 0.5000 0.5000 0.5000 x1  2 Ta 2.51, 4 Al 2.74
Ta1 0.5000 0.5000 0.0000 x1  2 Y 2.51
Al1 0.0000 0.5000 0.5000 x2  2 Y 2.74

=====

(4)
Entry from the Alexandria database: LiTbAl6 after structural relaxation (PBE-GGA).

## Properties
ΔH_f (0 K) = -0.20 eV per atom
electronic total energy = -3.826 eV/atom
total moment = 0.000 μB per atom
calculated density = 3.7 g cm⁻³
crystal system = orthorhombic

Cell: 4.5939 6.1083 10.5694 Å, 90.00 90.00 90.00°
Last column: nearest neighbours and their distance in Å.
Space group Amm2 (No. 38)
Inequivalent atoms, fractional coordinates:
Li1 0.0000 0.0000 0.0000 x2  12 Al 2.89-3.06
Tb1 0.5000 0.0000 0.3328 x2  12 Al 3.01-3.05
Al1 0.0000 0.0000 0.5169 x2  6 Al 2.73-2.85, 2 Tb 3.01, 2 Li 3.06
Al2 0.0000 0.2237 0.7409 x4  6 Al 2.73-2.85, 2 Tb 3.01, 2 Li 3.06
Al3 0.5000 0.0000 0.8341 x2  8 Al 2.85-3.07, 2 Li 2.89, 2 Tb 3.05
Al4 0.5000 0.2484 0.0823 x4  8 Al 2.85-3.07, 2 Li 2.89, 2 Tb 3.05